Computed, not measured: AcCdO2 after structural relaxation at the PBE level of DFT.

Calculated values
ρ = 7.46 g/cm³
DOS(E_F) = 3.237 states/eV per cell
ΔE to the lowest computed polymorph = 24.4 kJ/mol of atoms
Formation energy without anion corrections = -5.18 eV/f.u.
Space-group type = R-3m, No. 166
Calculated total energy = -20.1 eV per cell
Crystal system = trigonal

POSCAR file:
```
AcCdO2
1.0
-1.413 -1.108 -3.312
0.463 -3.557 -1.150
-6.067 -3.284 1.544
O Cd Ac
2 1 1
Cartesian
-4.163 -2.711 0.540
-2.854 -5.238 -3.458
-3.508 -3.975 -1.459
0.000 0.000 0.000
```